Entry 1:
VASP calculation (GGA-PBE) on crystalline CaCr2Sb2 at its relaxed geometry.

## Properties
Formation energy from raw total energies = -51 meV/atom
DOS at the Fermi energy = 0.244 states/eV/atom
Distance to the lowest polymorph of the same formula = 0.000 eV per atom
E = -5.950 eV per atom
Space-group type = I4/mmm (139)

a b c (Å): 5.541 5.541 5.541
angles (deg): 126.67 126.67 78.78
Element x y z (fractional)
Ca1 0.000 0.000 0.000
Cr1 0.392 0.392 0.000
Cr2 0.608 0.608 0.000
Sb1 0.250 0.750 0.500
Sb2 0.750 0.250 0.500

Entry 2:
VASP calculation (GGA-PBE) on crystalline CaCr2Sb at its relaxed geometry.

## Properties
Formation energy from raw total energies = 295 meV/atom
DOS at the Fermi energy = 0.709 states/eV/atom
E = -6.048 eV per atom
Space-group type = P4/mmm (123)

a b c (Å): 4.489 4.489 4.367
angles (deg): 90.00 90.00 90.00
Element x y z (fractional)
Ca1 0.000 0.000 0.000
Cr1 0.000 0.500 0.500
Cr2 0.500 0.000 0.500
Sb1 0.500 0.500 0.000

Entry 3:
VASP calculation (GGA-PBE) on crystalline CaCrSb at its relaxed geometry.

## Properties
Formation energy from raw total energies = -162 meV/atom
DOS at the Fermi energy = 0.128 states/eV/atom
E = -5.412 eV per atom
Space-group type = F-43m (216)

a b c (Å): 4.822 4.822 4.822
angles (deg): 60.00 60.00 60.00
Element x y z (fractional)
Ca1 0.000 0.000 0.000
Cr1 0.750 0.750 0.750
Sb1 0.500 0.500 0.500

Entry 4:
VASP calculation (GGA-PBE) on crystalline CaCrSb2 at its relaxed geometry.

## Properties
Formation energy from raw total energies = -181 meV/atom
DOS at the Fermi energy = 0.489 states/eV/atom
Distance to the lowest polymorph of the same formula = 0.154 eV per atom
E = -5.149 eV per atom
Space-group type = I-42d (122)

a b c (Å): 6.550 6.550 6.550
angles (deg): 104.09 104.09 120.87
Element x y z (fractional)
Ca1 0.000 0.000 0.000
Ca2 0.750 0.250 0.500
Cr1 0.250 0.750 0.500
Cr2 0.500 0.500 0.000
Sb1 0.165 0.625 0.040
Sb2 0.375 0.415 0.540
Sb3 0.585 0.125 0.960
Sb4 0.875 0.835 0.460

Entry 5:
VASP calculation (GGA-PBE) on crystalline CaCrSb2 at its relaxed geometry.

## Properties
Formation energy from raw total energies = -130 meV/atom
DOS at the Fermi energy = 0.703 states/eV/atom
Distance to the lowest polymorph of the same formula = 0.205 eV per atom
E = -5.098 eV per atom
Space-group type = Pmmm (47)

a b c (Å): 3.302 3.740 7.841
angles (deg): 90.00 90.00 90.00
Element x y z (fractional)
Ca1 0.000 0.000 0.000
Cr1 0.000 0.000 0.500
Sb1 0.500 0.500 0.286
Sb2 0.500 0.500 0.714

Entry 6:
VASP calculation (GGA-PBE) on crystalline CaCrSb2 at its relaxed geometry.

## Properties
Formation energy from raw total energies = -151 meV/atom
DOS at the Fermi energy = 0.503 states/eV/atom
Distance to the lowest polymorph of the same formula = 0.185 eV per atom
E = -5.118 eV per atom
Space-group type = Cm (8)

a b c (Å): 6.033 6.033 4.405
angles (deg): 108.86 108.86 41.84
Element x y z (fractional)
Ca1 0.000 0.000 0.000
Cr1 0.751 0.751 0.358
Sb1 0.261 0.261 0.877
Sb2 0.501 0.501 0.485

Please write out number 4 again, unchanged.
VASP calculation (GGA-PBE) on crystalline CaCrSb2 at its relaxed geometry.

## Properties
Formation energy from raw total energies = -181 meV/atom
DOS at the Fermi energy = 0.489 states/eV/atom
Distance to the lowest polymorph of the same formula = 0.154 eV per atom
E = -5.149 eV per atom
Space-group type = I-42d (122)

a b c (Å): 6.550 6.550 6.550
angles (deg): 104.09 104.09 120.87
Element x y z (fractional)
Ca1 0.000 0.000 0.000
Ca2 0.750 0.250 0.500
Cr1 0.250 0.750 0.500
Cr2 0.500 0.500 0.000
Sb1 0.165 0.625 0.040
Sb2 0.375 0.415 0.540
Sb3 0.585 0.125 0.960
Sb4 0.875 0.835 0.460